Compound: Be2ReOs
Source: the Alexandria database
Functional: PBE
Structure: optimized geometry

Computed properties:
For the energy relative to the lowest polymorph listed for this composition, the calculation gives 206 meV/atom. The value obtained for the density of states at the Fermi level is 0.96 states/eV/atom. The value obtained for the formation energy is 5.52 kJ per mole of atoms. Its final energy is -7.725 eV per atom. The value obtained for the volume is 45 Å³ per cell.

CIF file:
```
data_Be2ReOs
_chemical_formula_sum 'Be2 Re1 Os1'
_space_group_name_H-M_alt 'P 4/m m m'
_space_group_IT_number 123
_space_group_name_Hall '-P 4 2'
_cell_length_a 4.0020
_cell_length_b 4.0020
_cell_length_c 2.8047
_cell_angle_alpha 90.00
_cell_angle_beta 90.00
_cell_angle_gamma 90.00
loop_
_atom_site_label
_atom_site_type_symbol
_atom_site_fract_x
_atom_site_fract_y
_atom_site_fract_z
_atom_site_occupancy
Be1 Be 0.0000 0.5000 0.0000 1
Re1 Re 0.0000 0.0000 0.5000 1
Os1 Os 0.5000 0.5000 0.5000 1
```

***

Compound: Y3Ge5Se12
Source: the Alexandria database
Functional: PBE
Structure: optimized geometry

Computed properties:
The value obtained for the density of states at the Fermi level is 0.16 states/eV/atom. As for the formation energy (no corrections): -0.787 eV/atom. Its final energy is -5.001 eV per atom. The value obtained for the volume is 4186 Å³ per cell.

CIF file:
```
data_Y3Ge5Se12
_chemical_formula_sum 'Y24 Ge40 Se96'
_space_group_name_H-M_alt 'I a -3 d'
_space_group_IT_number 230
_space_group_name_Hall '-I 4bd 2c 3'
_cell_length_a 16.1158
_cell_length_b 16.1158
_cell_length_c 16.1158
_cell_angle_alpha 90.00
_cell_angle_beta 90.00
_cell_angle_gamma 90.00
loop_
_atom_site_label
_atom_site_type_symbol
_atom_site_fract_x
_atom_site_fract_y
_atom_site_fract_z
_atom_site_occupancy
Y1 Y 0.0000 0.2500 0.1250 1
Ge1 Ge 0.0000 0.0000 0.0000 1
Ge2 Ge 0.0000 0.2500 0.3750 1
Se1 Se 0.0237 0.0631 0.6548 1
```

***

Compound: SrLiAg3
Source: the Alexandria database
Functional: PBE
Structure: optimized geometry

Computed properties:
For the energy relative to the lowest polymorph listed for this composition, the calculation gives 42 meV/atom. The value obtained for the density of states at the Fermi level is 0.27 states/eV/atom. The value obtained for the formation energy is -15.97 kJ per mole of atoms. Its final energy is -2.595 eV per atom. The value obtained for the volume is 229 Å³ per cell.

CIF file:
```
data_SrLiAg3
_chemical_formula_sum 'Sr2 Li2 Ag6'
_space_group_name_H-M_alt 'P 63/m m c'
_space_group_IT_number 194
_space_group_name_Hall '-P 6c 2c'
_cell_length_a 6.7497
_cell_length_b 6.7497
_cell_length_c 5.8098
_cell_angle_alpha 90.00
_cell_angle_beta 90.00
_cell_angle_gamma 120.00
loop_
_atom_site_label
_atom_site_type_symbol
_atom_site_fract_x
_atom_site_fract_y
_atom_site_fract_z
_atom_site_occupancy
Sr1 Sr 0.3333 0.6667 0.2500 1
Li1 Li 0.0000 0.0000 0.0000 1
Ag1 Ag 0.1911 0.3822 0.7500 1
```

***

Compound: Li4Zn3Ag5
Source: the Alexandria database
Functional: PBE
Structure: optimized geometry

Computed properties:
The value obtained for the density of states at the Fermi level is 0.28 states/eV/atom. The value obtained for the formation energy is -4.07 kJ per mole of atoms. Its final energy is -2.187 eV per atom. The value obtained for the volume is 432 Å³ per cell.

CIF file:
```
data_Li4Zn3Ag5
_chemical_formula_sum 'Li8 Zn6 Ag10'
_space_group_name_H-M_alt 'C 1 2/m 1'
_space_group_IT_number 12
_space_group_name_Hall '-C 2y'
_cell_length_a 10.1122
_cell_length_b 4.8472
_cell_length_c 8.9732
_cell_angle_alpha 90.00
_cell_angle_beta 100.68
_cell_angle_gamma 90.00
loop_
_atom_site_label
_atom_site_type_symbol
_atom_site_fract_x
_atom_site_fract_y
_atom_site_fract_z
_atom_site_occupancy
Li1 Li 0.1422 0.0000 0.2910 1
Li2 Li 0.2384 0.0000 0.9044 1
Zn1 Zn 0.0000 0.0000 0.0000 1
Zn2 Zn 0.0955 0.5000 0.7550 1
Ag1 Ag 0.0000 0.5000 0.0000 1
Ag2 Ag 0.1106 0.0000 0.6225 1
Ag3 Ag 0.1341 0.5000 0.4580 1
```

***

Compound: BaCdTcO4
Source: the Alexandria database
Functional: PBE
Structure: optimized geometry

Computed properties:
The value obtained for the density of states at the Fermi level is 0.94 states/eV/atom. As for the formation energy (no corrections): -1.087 eV/atom. Its final energy is -5.806 eV per atom. The value obtained for the volume is 792 Å³ per cell.

CIF file:
```
data_BaCdTcO4
_chemical_formula_sum 'Ba4 Cd4 Tc4 O16'
_space_group_name_H-M_alt 'F -4 3 m'
_space_group_IT_number 216
_space_group_name_Hall 'F -4 2 3'
_cell_length_a 9.2539
_cell_length_b 9.2539
_cell_length_c 9.2539
_cell_angle_alpha 90.00
_cell_angle_beta 90.00
_cell_angle_gamma 90.00
loop_
_atom_site_label
_atom_site_type_symbol
_atom_site_fract_x
_atom_site_fract_y
_atom_site_fract_z
_atom_site_occupancy
Ba1 Ba 0.0000 0.0000 0.0000 1
Cd1 Cd 0.2500 0.2500 0.2500 1
Tc1 Tc 0.0000 0.0000 0.5000 1
O1 O 0.1148 0.1148 0.3852 1
```

***

Compound: InHgSe2
Source: the Alexandria database
Functional: PBE
Structure: optimized geometry

Computed properties:
The value obtained for the density of states at the Fermi level is 0.44 states/eV/atom. As for the formation energy (no corrections): -0.271 eV/atom. Its final energy is -2.773 eV per atom. The value obtained for the volume is 392 Å³ per cell.

CIF file:
```
data_InHgSe2
_chemical_formula_sum 'In3 Hg3 Se6'
_space_group_name_H-M_alt 'R 3 m'
_space_group_IT_number 160
_space_group_name_Hall 'R 3 -2"'
_cell_length_a 4.6103
_cell_length_b 4.6103
_cell_length_c 21.2742
_cell_angle_alpha 90.00
_cell_angle_beta 90.00
_cell_angle_gamma 120.00
loop_
_atom_site_label
_atom_site_type_symbol
_atom_site_fract_x
_atom_site_fract_y
_atom_site_fract_z
_atom_site_occupancy
In1 In 0.0000 0.0000 0.0000 1
Hg1 Hg 0.0000 0.0000 0.4934 1
Se1 Se 0.0000 0.0000 0.1277 1
Se2 Se 0.0000 0.0000 0.6284 1
```

***

- Which of these has the highest final energy?
  Li4Zn3Ag5

***

- The highest volume belongs to which entry?
  Y3Ge5Se12

***

- Which value of volume does entry 1 give?
  45 Å³ per cell